The following is a PBE-GGA calculation of a relaxed CrSnH2Ir crystal, from Alexandria.

Unit cell a=3.624 b=5.967 c=3.624 alpha=90.00 beta=90.00 gamma=90.00
Fractional positions:
Cr 0.000 0.000 0.000
Ir 0.500 0.500 0.500
Sn 0.000 0.500 0.000
H 0.000 0.000 0.500
H 0.500 0.000 0.000

Calculated values
Total magnetic moment in Bohr magnetons per cell: 3.35
Total energy in eV per atom: -5.1812
Symmetry: P4/mmm (123)

=====

The following is a PBE-GGA calculation of a relaxed Cr2SnHIr crystal, from Alexandria.

Unit cell a=4.041 b=4.041 c=3.948 alpha=90.00 beta=90.00 gamma=90.00
Fractional positions:
Cr 0.000 0.500 0.000
Cr 0.500 0.000 0.000
Ir 0.000 0.000 0.500
Sn 0.500 0.500 0.500
H 0.000 0.000 0.000

Calculated values
Total magnetic moment in Bohr magnetons per cell: 5.90
Total energy in eV per atom: -7.0294
Symmetry: P4/mmm (123)

=====

The following is a PBE-GGA calculation of a relaxed TaCrHIr2 crystal, from Alexandria.

Unit cell a=3.919 b=3.919 c=3.946 alpha=90.00 beta=90.00 gamma=90.00
Fractional positions:
Cr 0.000 0.000 0.500
Ir 0.000 0.500 0.000
Ir 0.500 0.000 0.000
H 0.000 0.000 0.000
Ta 0.500 0.500 0.500

Calculated values
Total magnetic moment in Bohr magnetons per cell: 0.00
Total energy in eV per atom: -8.7889
Symmetry: P4/mmm (123)

=====

The following is a PBE-GGA calculation of a relaxed TaCrHIr2 crystal, from Alexandria.

Unit cell a=3.912 b=3.912 c=4.028 alpha=90.00 beta=90.00 gamma=90.00
Fractional positions:
Cr 0.500 0.500 0.500
Ir 0.000 0.500 0.000
Ir 0.500 0.000 0.000
H 0.000 0.000 0.000
Ta 0.000 0.000 0.500

Calculated values
Total magnetic moment in Bohr magnetons per cell: 1.39
Total energy in eV per atom: -8.7106
Symmetry: P4/mmm (123)

=====

The following is a PBE-GGA calculation of a relaxed CrTcHIr2 crystal, from Alexandria.

Unit cell a=3.866 b=3.866 c=3.932 alpha=90.00 beta=90.00 gamma=90.00
Fractional positions:
Cr 0.500 0.500 0.500
Ir 0.000 0.500 0.000
Ir 0.500 0.000 0.000
Tc 0.000 0.000 0.500
H 0.000 0.000 0.000

Calculated values
Total magnetic moment in Bohr magnetons per cell: 0.62
Total energy in eV per atom: -8.2398
Symmetry: P4/mmm (123)

=====

The following is a PBE-GGA calculation of a relaxed CrTcHIr2 crystal, from Alexandria.

Unit cell a=3.843 b=3.843 c=3.905 alpha=90.00 beta=90.00 gamma=90.00
Fractional positions:
Cr 0.000 0.000 0.500
Ir 0.000 0.500 0.000
Ir 0.500 0.000 0.000
Tc 0.500 0.500 0.500
H 0.000 0.000 0.000

Calculated values
Total magnetic moment in Bohr magnetons per cell: 0.00
Total energy in eV per atom: -8.2347
Symmetry: P4/mmm (123)

=====

The following is a PBE-GGA calculation of a relaxed CrTc2HIr crystal, from Alexandria.

Unit cell a=3.872 b=3.872 c=3.836 alpha=90.00 beta=90.00 gamma=90.00
Fractional positions:
Cr 0.000 0.000 0.500
Ir 0.500 0.500 0.500
Tc 0.000 0.500 0.000
Tc 0.500 0.000 0.000
H 0.000 0.000 0.000

Calculated values
Total magnetic moment in Bohr magnetons per cell: 0.00
Total energy in eV per atom: -8.5501
Symmetry: P4/mmm (123)

=====

The following is a PBE-GGA calculation of a relaxed CrTe2HIr crystal, from Alexandria.

Unit cell a=5.319 b=3.375 c=5.319 alpha=90.00 beta=90.00 gamma=90.00
Fractional positions:
Cr 0.500 0.500 0.500
Ir 0.000 0.000 0.000
Te 0.000 0.000 0.500
Te 0.500 0.000 0.000
H 0.000 0.500 0.000

Calculated values
Total magnetic moment in Bohr magnetons per cell: 4.01
Total energy in eV per atom: -5.3732
Symmetry: P4/mmm (123)

=====

Number 1: density 7.733 g cm⁻³. Number 2: density 10.713 g cm⁻³. Number 3: density 16.942 g cm⁻³. Number 4: density 16.658 g cm⁻³. Number 5: density 15.132 g cm⁻³. Number 6: density 15.411 g cm⁻³. Number 7: density 12.737 g cm⁻³. Number 8: density 8.702 g cm⁻³.